(1)
# Pr8Tl2Ni

A relaxed Pr8Tl2Ni crystal (PBE, the Alexandria database). Values from VASP.

Structure (Quantum ESPRESSO input):
```
&SYSTEM
  ibrav = 0, nat = 11, ntyp = 3
/
ATOMIC_SPECIES
Pr 140.91 Pr.upf
Ni 58.69 Ni.upf
Tl 204.38 Tl.upf
ATOMIC_POSITIONS crystal
Pr 0.295 0.908 0.677
Pr 0.004 0.227 0.824
Pr 0.632 0.625 0.625
Ni 0.326 0.019 0.019
Tl 0.496 0.721 0.325
Pr 0.295 0.677 0.908
Pr 0.739 0.412 0.184
Pr 0.739 0.184 0.412
Tl 0.496 0.325 0.721
Pr 0.974 0.112 0.112
Pr 0.004 0.824 0.227
CELL_PARAMETERS angstrom
-5.792 0.602 -0.704
3.345 -5.424 -7.100
1.713 -2.124 9.142
```

Output
Space-group type ... No. 8
Energy above the lowest structure with this stoichiometry ... 0 meV/atom
DFT formation energy ... -0.165 eV per atom
Volume ... 31.6 A^3/atom
Calculated total energy ... -50.57 eV/cell

***

(2)
# Pr12Tl6Ni

A relaxed Pr12Tl6Ni crystal (PBE, the Alexandria database). Values from VASP.

Structure (Quantum ESPRESSO input):
```
&SYSTEM
  ibrav = 0, nat = 19, ntyp = 3
/
ATOMIC_SPECIES
Pr 140.91 Pr.upf
Tl 204.38 Tl.upf
Ni 58.69 Ni.upf
ATOMIC_POSITIONS crystal
Pr 0.542 0.197 0.428
Pr 0.683 0.019 0.917
Tl 0.660 0.858 0.265
Pr 0.197 0.428 0.542
Pr 0.428 0.542 0.197
Pr 0.019 0.917 0.683
Pr 0.458 0.803 0.572
Pr 0.981 0.083 0.317
Pr 0.917 0.683 0.019
Pr 0.572 0.458 0.803
Pr 0.317 0.981 0.083
Pr 0.083 0.317 0.981
Tl 0.265 0.660 0.858
Ni 0.000 0.000 0.000
Tl 0.142 0.735 0.340
Tl 0.735 0.340 0.142
Tl 0.858 0.265 0.660
Tl 0.340 0.142 0.735
Pr 0.803 0.572 0.458
CELL_PARAMETERS angstrom
8.588 0.332 0.398
-0.974 8.540 0.398
-0.974 -1.135 8.473
```

Output
Space-group type ... No. 148
DFT formation energy ... -0.176 eV per atom
Volume ... 33.2 A^3/atom
Calculated total energy ... -80.68 eV/cell